A plane-wave DFT calculation with GGA-PBE was carried out for a relaxed structure of Ca2FeTe. Values from VASP.

- E_form (uncorrected): -306 meV per atom
- Energy relative to the lowest polymorph listed for this composition: 57 meV per atom
- Calculated density: 4.14 g cm⁻³
- Symmetry: P2/m, No. 10

Geometry as Quantum ESPRESSO input:
```
&SYSTEM
  ibrav = 0, nat = 4, ntyp = 3
/
ATOMIC_SPECIES
Fe 55.84 Fe.upf
Ca 40.08 Ca.upf
Te 127.60 Te.upf
ATOMIC_POSITIONS crystal
Fe 0.500 0.250 0.250
Ca 0.000 0.996 0.004
Ca 0.000 0.504 0.496
Te 0.500 0.750 0.750
CELL_PARAMETERS angstrom
-1.147 0.387 -3.665
-3.196 -1.985 0.791
-6.531 4.074 2.475
```

A plane-wave DFT calculation with GGA-PBE was carried out for a relaxed structure of Sr2ScHgBi. Values from VASP.

- Calculated density: 5.09 g cm⁻³
- Symmetry: P4/mmm, No. 123
- Energy of formation: 0.354 eV/atom

Geometry as Quantum ESPRESSO input:
```
&SYSTEM
  ibrav = 0, nat = 5, ntyp = 4
/
ATOMIC_SPECIES
Sr 87.62 Sr.upf
Sc 44.96 Sc.upf
Hg 200.59 Hg.upf
Bi 208.98 Bi.upf
ATOMIC_POSITIONS crystal
Sr 0.000 0.000 0.500
Sr 0.500 0.000 0.000
Sc 0.000 0.000 0.000
Hg 0.000 0.500 0.000
Bi 0.500 0.500 0.500
CELL_PARAMETERS angstrom
6.235 0.000 0.000
0.000 5.288 0.000
0.000 0.000 6.235
```

A plane-wave DFT calculation with GGA-PBE was carried out for a relaxed structure of Cs2KAgHg. Values from VASP.

- Energy relative to the lowest polymorph listed for this composition: 222 meV per atom
- Calculated density: 3.07 g cm⁻³
- Symmetry: P4/mmm, No. 123
- Energy of formation: 0.127 eV/atom

Geometry as Quantum ESPRESSO input:
```
&SYSTEM
  ibrav = 0, nat = 5, ntyp = 4
/
ATOMIC_SPECIES
Ag 107.87 Ag.upf
K 39.10 K.upf
Hg 200.59 Hg.upf
Cs 132.91 Cs.upf
ATOMIC_POSITIONS crystal
Ag 0.500 0.500 0.500
K 0.000 0.000 0.500
Hg 0.000 0.000 0.000
Cs 0.000 0.500 0.000
Cs 0.500 0.000 0.000
CELL_PARAMETERS angstrom
-4.567 1.147 -5.324
-4.488 -4.729 2.831
-2.847 4.781 3.473
```

A plane-wave DFT calculation with GGA-PBE was carried out for a relaxed structure of Sc2MnRe. Values from VASP.

- Calculated density: 8.50 g cm⁻³
- Symmetry: Immm, No. 71
- Energy of formation: 0.214 eV/atom

Geometry as Quantum ESPRESSO input:
```
&SYSTEM
  ibrav = 0, nat = 4, ntyp = 3
/
ATOMIC_SPECIES
Mn 54.94 Mn.upf
Re 186.21 Re.upf
Sc 44.96 Sc.upf
ATOMIC_POSITIONS crystal
Mn 0.750 0.250 0.500
Re 0.250 0.750 0.500
Sc 0.987 0.987 0.000
Sc 0.513 0.513 0.000
CELL_PARAMETERS angstrom
5.168 0.010 -0.003
2.061 4.740 0.003
-3.060 -3.220 2.643
```

A plane-wave DFT calculation with GGA-PBE was carried out for a relaxed structure of Cs2GaNi. Values from VASP.

- Energy relative to the lowest polymorph listed for this composition: 578 meV per atom
- Calculated density: 4.29 g cm⁻³
- Symmetry: Fm-3m, No. 225
- Energy of formation: 0.756 eV/atom

Geometry as Quantum ESPRESSO input:
```
&SYSTEM
  ibrav = 0, nat = 4, ntyp = 3
/
ATOMIC_SPECIES
Ni 58.69 Ni.upf
Ga 69.72 Ga.upf
Cs 132.91 Cs.upf
ATOMIC_POSITIONS crystal
Ni 0.000 0.000 0.000
Ga 0.500 0.500 0.500
Cs 0.750 0.750 0.750
Cs 0.250 0.250 0.250
CELL_PARAMETERS angstrom
0.000 4.241 4.241
4.241 0.000 4.241
4.241 4.241 0.000
```

A plane-wave DFT calculation with GGA-PBE was carried out for a relaxed structure of MgInSb2C. Values from VASP.

- E_form (uncorrected): 1730 meV per atom
- Calculated density: 4.14 g cm⁻³
- Symmetry: P4/mmm, No. 123

Geometry as Quantum ESPRESSO input:
```
&SYSTEM
  ibrav = 0, nat = 5, ntyp = 4
/
ATOMIC_SPECIES
C 12.01 C.upf
Sb 121.76 Sb.upf
Mg 24.30 Mg.upf
In 114.82 In.upf
ATOMIC_POSITIONS crystal
C 0.500 0.500 0.500
Sb 0.000 0.000 0.500
Sb 0.500 0.000 0.000
Mg 0.000 0.000 0.000
In 0.000 0.500 0.000
CELL_PARAMETERS angstrom
5.333 0.000 0.000
0.000 5.565 0.000
0.000 0.000 5.333
```

Total magnetization list, top to bottom, in μB per cell: 2.585; 1.627; 0.000; 0.013; 0.000; 1.446